Record 1
! Na3Hg3Pb (GGA-PBE, relaxed); values from VASP
! Total magnetic moment   0.00 μB per atom
! Calculated formation energy   -0.171 eV/atom
! Energy   -1.3956 eV/atom
! E above lowest polymorph   0.4 kJ/mol of atoms
! Density of states at the Fermi level   0.40 states/eV per atom
&SYSTEM
  ibrav = 0, nat = 28, ntyp = 3
/
ATOMIC_SPECIES
Na 22.99 Na.upf
Hg 200.59 Hg.upf
Pb 207.20 Pb.upf
CELL_PARAMETERS angstrom
-7.9926 -4.3314 -0.9670
3.6507 -7.5494 3.6411
-2.5236 2.7971 8.3298
ATOMIC_POSITIONS angstrom
Na -6.0044 -7.9443 9.6237
Na 1.0060 -6.0870 5.8442
Na -1.0271 -5.9932 2.9599
Na -4.5580 -7.9266 4.2642
Na -5.8916 -5.8804 1.7111
Na -5.4862 -2.6082 2.9720
Na -6.5428 -3.0580 7.0448
Na -4.3718 -0.2807 7.2820
Na -1.2389 -5.3419 8.4687
Na -4.4738 -5.9192 7.1705
Na -1.3914 -1.8409 2.2301
Na -1.2135 -1.6216 6.4523
Hg -1.9280 -7.1485 5.7766
Hg -3.4105 -0.7192 4.3453
Hg -3.4252 -3.1193 8.1686
Hg -6.2898 -5.1368 4.7159
Hg -2.9643 -8.1595 8.7335
Hg -6.9169 -7.7717 6.5875
Hg -1.6715 1.0401 8.1214
Hg -3.2146 -4.2872 1.5222
Hg 1.7426 -7.5303 3.1768
Hg 0.2372 -3.4454 4.3708
Hg -5.7734 -4.7810 9.7697
Hg -7.5788 -3.4431 0.7349
Pb -0.8067 -1.8531 9.8130
Pb -8.7104 -2.9579 3.9697
Pb -1.1907 -9.3563 3.3796
Pb -3.0232 -4.0000 4.8456



Record 2
! Na3Hg6Pb (GGA-PBE, relaxed); values from VASP
! Total magnetic moment   0.00 μB per atom
! Calculated formation energy   -0.145 eV/atom
! Energy   -1.0926 eV/atom
! Density of states at the Fermi level   0.46 states/eV per atom
&SYSTEM
  ibrav = 0, nat = 20, ntyp = 3
/
ATOMIC_SPECIES
Hg 200.59 Hg.upf
Na 22.99 Na.upf
Pb 207.20 Pb.upf
CELL_PARAMETERS angstrom
-1.4208 6.5947 4.9428
-8.0317 -0.9483 -2.1291
-0.3291 -5.5602 6.2383
ATOMIC_POSITIONS angstrom
Hg -2.2774 4.3701 6.8870
Hg -8.4140 0.9147 0.2887
Hg -3.6210 -2.3539 3.0761
Hg -1.3676 -0.8285 8.7633
Hg -4.9813 -1.3113 7.2860
Hg -3.3502 -5.1611 5.8185
Hg -6.1606 2.4401 5.9759
Hg -4.8003 1.3975 1.7660
Hg -6.4314 5.2473 3.2335
Hg -1.9967 1.0482 4.7989
Hg -7.7849 -0.9620 4.2531
Hg -7.5042 -4.2839 2.1650
Na -7.6641 2.2843 3.1443
Na -6.3798 -1.3566 1.2938
Na -3.4018 1.4428 7.7582
Na -6.0538 -3.5762 4.9403
Na -3.7278 3.6624 4.1117
Na -2.1175 -2.1980 5.9077
Pb 0.0000 0.0000 0.0000
Pb -4.8908 0.0431 4.5260



Record 3
! NaHgPb6 (GGA-PBE, relaxed); values from VASP
! Total magnetic moment   0.00 μB per atom
! Calculated formation energy   -0.041 eV/atom
! Energy   -3.0245 eV/atom
! Density of states at the Fermi level   0.29 states/eV per atom
&SYSTEM
  ibrav = 0, nat = 8, ntyp = 3
/
ATOMIC_SPECIES
Na 22.99 Na.upf
Pb 207.20 Pb.upf
Hg 200.59 Hg.upf
CELL_PARAMETERS angstrom
-4.2368 0.4325 -2.4700
-2.2478 -2.8045 3.3646
-2.2147 8.0167 5.2025
ATOMIC_POSITIONS angstrom
Na 0.0000 0.0000 0.0000
Pb -2.7834 4.6048 5.5807
Pb -1.6791 0.6074 2.9865
Pb -4.3497 2.8223 3.0486
Pb -3.2423 -1.1860 0.4473
Pb -3.7779 6.2233 2.6633
Pb -2.6736 2.2259 0.0691
Hg -1.1074 4.0083 2.6013



Record 4
! Na2HgPb2 (GGA-PBE, relaxed); values from VASP
! Total magnetic moment   0.00 μB per atom
! Calculated formation energy   -0.043 eV/atom
! Energy   -2.1143 eV/atom
! E above lowest polymorph   10.8 kJ/mol of atoms
! Density of states at the Fermi level   0.59 states/eV per atom
&SYSTEM
  ibrav = 0, nat = 10, ntyp = 3
/
ATOMIC_SPECIES
Hg 200.59 Hg.upf
Pb 207.20 Pb.upf
Na 22.99 Na.upf
CELL_PARAMETERS angstrom
-5.1901 6.9366 -2.7800
-5.8693 -5.8789 -3.7111
-1.8873 -0.1320 3.1940
ATOMIC_POSITIONS angstrom
Hg -5.5297 0.5289 -3.2456
Hg 0.0000 0.0000 0.0000
Pb -9.3282 -0.9697 -3.3946
Pb -7.7680 3.8068 -2.2753
Pb -3.6186 1.8954 0.0975
Pb -5.1787 -2.8811 -1.0218
Na -6.4629 -2.6020 -3.9263
Na -2.8117 -0.6201 -1.6870
Na -4.5966 3.6597 -2.5648
Na -8.2477 1.6779 -4.8041